[1]
Here is an optimized crystal structure of Ca2HgCl from Alexandria via LeMat-Bulk. Energies are from PBE.

```
Ca2HgCl
1.0
6.954 0.000 0.000
0.000 4.006 0.000
-2.323 0.000 8.135
Ca Hg Cl
4 2 2
Direct
0.248 0.000 0.246
0.252 0.500 0.754
0.748 0.500 0.246
0.752 0.000 0.754
0.000 0.000 0.500
0.500 0.500 0.500
0.000 0.500 0.000
0.500 0.000 0.000
```

SG = C2/m (12)
ΔE_f (raw) = -4.2 eV per formula unit
Total energy = -20.7 eV per cell
Distance to the lowest polymorph of the same formula = 0.025 eV per atom
Magnetization = 0.00 μB/f.u.

[2]
Here is an optimized crystal structure of V6FeOs from Alexandria via LeMat-Bulk. Energies are from PBE.

```
V6FeOs
1.0
4.720 0.000 0.000
0.000 4.720 0.000
0.000 0.000 4.720
V Fe Os
6 1 1
Direct
0.000 0.246 0.500
0.000 0.754 0.500
0.246 0.500 0.000
0.500 0.000 0.246
0.500 0.000 0.754
0.754 0.500 0.000
0.000 0.000 0.000
0.500 0.500 0.500
```

SG = Pm-3 (200)
Total energy = -76.3 eV per cell
Distance to the lowest polymorph of the same formula = 0.000 eV per atom
ΔE_f = -242 meV per atom
Magnetization = 0.00 μB/f.u.

[3]
Here is an optimized crystal structure of Mg2AlTe from Alexandria via LeMat-Bulk. Energies are from PBE.

```
Mg2AlTe
1.0
3.392 0.000 0.000
0.000 3.392 0.000
0.000 0.000 8.029
Mg Al Te
2 1 1
Direct
0.000 0.000 0.228
0.000 0.000 0.772
0.500 0.500 0.000
0.500 0.500 0.500
```

SG = P4/mmm (123)
ΔE_f (raw) = -0.2 eV per formula unit
Total energy = -10.2 eV per cell
Distance to the lowest polymorph of the same formula = 0.097 eV per atom
Magnetization = 0.00 μB/f.u.

[4]
Here is an optimized crystal structure of Hf4Mo2C from Alexandria via LeMat-Bulk. Energies are from PBE.

```
Hf4Mo2C
1.0
4.298 0.000 0.000
0.000 4.298 0.000
0.000 0.000 14.680
Hf Mo C
8 4 2
Direct
0.000 0.000 0.156
0.000 0.000 0.844
0.000 0.500 0.000
0.000 0.500 0.500
0.500 0.000 0.000
0.500 0.000 0.500
0.500 0.500 0.344
0.500 0.500 0.656
0.000 0.000 0.350
0.000 0.000 0.650
0.500 0.500 0.150
0.500 0.500 0.850
0.000 0.000 0.000
0.500 0.500 0.500
```

SG = I4/mmm (139)
Total energy = -138.0 eV per cell
ΔE_f = 241 meV per atom
Magnetization = 0.00 μB/f.u.

[5]
Here is an optimized crystal structure of ZnCu2OsC from Alexandria via LeMat-Bulk. Energies are from PBE.

```
ZnCu2OsC
1.0
3.925 0.000 0.000
0.000 3.925 0.000
0.000 0.000 4.005
Zn Cu Os C
1 2 1 1
Direct
0.000 0.000 0.000
0.000 0.500 0.500
0.500 0.000 0.500
0.500 0.500 0.000
0.500 0.500 0.500
```

SG = P4/mmm (123)
Total energy = -28.0 eV per cell
ΔE_f = 383 meV per atom
Magnetization = 0.00 μB/f.u.

[6]
Here is an optimized crystal structure of ThScNiRh from Alexandria via LeMat-Bulk. Energies are from PBE.

```
ThScNiRh
1.0
6.811 0.000 0.000
0.000 6.811 0.000
0.000 0.000 6.811
Th Sc Ni Rh
4 4 4 4
Direct
0.000 0.000 0.000
0.000 0.500 0.500
0.500 0.000 0.500
0.500 0.500 0.000
0.000 0.000 0.500
0.000 0.500 0.000
0.500 0.000 0.000
0.500 0.500 0.500
0.250 0.250 0.250
0.250 0.750 0.750
0.750 0.250 0.750
0.750 0.750 0.250
0.250 0.250 0.750
0.250 0.750 0.250
0.750 0.250 0.250
0.750 0.750 0.750
```

SG = F-43m (216)
Total energy = -116.7 eV per cell
ΔE_f = -571 meV per atom
Magnetization = 0.00 μB/f.u.

[7]
Here is an optimized crystal structure of Ho12Cd3H5 from Alexandria via LeMat-Bulk. Energies are from PBE.

```
Ho12Cd3H5
1.0
-7.729 7.729 7.729
7.729 -7.729 7.729
7.729 7.729 -7.729
Ho Cd H
48 12 20
Direct
0.011 0.204 0.107
0.011 0.307 0.904
0.096 0.607 0.403
0.096 0.989 0.693
0.097 0.704 0.693
0.097 0.893 0.404
0.107 0.011 0.204
0.107 0.596 0.903
0.193 0.204 0.597
0.193 0.489 0.596
0.204 0.107 0.011
0.204 0.597 0.193
0.296 0.307 0.903
0.296 0.489 0.393
0.307 0.903 0.296
0.307 0.904 0.011
0.393 0.296 0.489
0.393 0.597 0.904
0.403 0.096 0.607
0.403 0.807 0.796
0.404 0.097 0.893
0.404 0.807 0.511
0.489 0.393 0.296
0.489 0.596 0.193
0.511 0.404 0.807
0.511 0.607 0.704
0.596 0.193 0.489
0.596 0.903 0.107
0.597 0.193 0.204
0.597 0.904 0.393
0.607 0.403 0.096
0.607 0.704 0.511
0.693 0.096 0.989
0.693 0.097 0.704
0.704 0.511 0.607
0.704 0.693 0.097
0.796 0.403 0.807
0.796 0.893 0.989
0.807 0.511 0.404
0.807 0.796 0.403
0.893 0.404 0.097
0.893 0.989 0.796
0.903 0.107 0.596
0.903 0.296 0.307
0.904 0.011 0.307
0.904 0.393 0.597
0.989 0.693 0.096
0.989 0.796 0.893
0.125 0.250 0.375
0.125 0.375 0.750
0.250 0.375 0.125
0.250 0.875 0.625
0.375 0.125 0.250
0.375 0.750 0.125
0.625 0.250 0.875
0.625 0.875 0.750
0.750 0.125 0.375
0.750 0.625 0.875
0.875 0.625 0.250
0.875 0.750 0.625
0.000 0.000 0.000
0.000 0.000 0.500
0.000 0.500 0.000
0.000 0.500 0.500
0.125 0.750 0.875
0.125 0.875 0.250
0.250 0.125 0.875
0.250 0.625 0.375
0.375 0.250 0.625
0.375 0.625 0.750
0.500 0.000 0.000
0.500 0.000 0.500
0.500 0.500 0.000
0.500 0.500 0.500
0.625 0.375 0.250
0.625 0.750 0.375
0.750 0.375 0.625
0.750 0.875 0.125
0.875 0.125 0.750
0.875 0.250 0.125
```

SG = Ia-3d (230)
Total energy = -313.4 eV per cell
Magnetization = 0.00 μB/f.u.

[8]
Here is an optimized crystal structure of KBPt2 from Alexandria via LeMat-Bulk. Energies are from PBE.

```
KBPt2
1.0
3.047 0.000 0.000
0.000 10.325 0.000
-0.027 0.000 5.845
K B Pt
2 2 4
Direct
0.201 0.250 0.496
0.799 0.750 0.504
0.202 0.250 0.996
0.798 0.750 0.004
0.306 0.616 0.003
0.306 0.884 0.003
0.694 0.116 0.997
0.694 0.384 0.997
```

SG = P2_1/m (11)
Total energy = -41.8 eV per cell
ΔE_f = -264 meV per atom
Magnetization = 0.00 μB/f.u.